# 1
# TbCe5Pb4 (PBE-GGA, optimized geometry)
# - DOS at the Fermi energy (states/eV/cell) = 25.70
# - E_form (eV/atom) = -0.349
data_TbCe5Pb4
_cell_length_a 5.8111
_cell_length_b 6.6796
_cell_length_c 9.6575
_cell_angle_alpha 122.57
_cell_angle_beta 107.51
_cell_angle_gamma 90.00
_symmetry_space_group_name_H-M 'P 1'
_symmetry_Int_Tables_number 1
loop_
_symmetry_equiv_pos_as_xyz
'x,y,z'
loop_
_atom_site_label
_atom_site_type_symbol
_atom_site_fract_x
_atom_site_fract_y
_atom_site_fract_z
_atom_site_occupancy
Ce1 Ce 0.2884 0.3799 0.5768 1
Ce2 Ce 0.7116 0.6201 0.4232 1
Pb1 Pb 0.3072 0.9100 0.6143 1
Pb2 Pb 0.9109 0.6378 0.8219 1
Pb3 Pb 0.0891 0.3622 0.1781 1
Ce3 Ce 0.8754 0.0854 0.7507 1
Ce4 Ce 0.1246 0.9146 0.2493 1
Pb4 Pb 0.6928 0.0900 0.3857 1
Tb1 Tb 0.5000 0.0000 0.0000 1
Ce5 Ce 0.5000 0.5000 0.0000 1



# 2
# Ba2ReMo (PBE-GGA, optimized geometry)
# - DOS at the Fermi energy (states/eV/cell) = 4.60
# - E_form (eV/atom) = 1.597
# - offset from the most stable computed form (eV/atom) = 1.0947
data_Ba2ReMo
_cell_length_a 3.0020
_cell_length_b 3.0020
_cell_length_c 11.2291
_cell_angle_alpha 90.00
_cell_angle_beta 90.00
_cell_angle_gamma 90.79
_symmetry_space_group_name_H-M 'P 1'
_symmetry_Int_Tables_number 1
loop_
_symmetry_equiv_pos_as_xyz
'x,y,z'
loop_
_atom_site_label
_atom_site_type_symbol
_atom_site_fract_x
_atom_site_fract_y
_atom_site_fract_z
_atom_site_occupancy
Mo1 Mo 0.5000 0.5000 0.2500 1
Ba1 Ba 0.0000 0.0000 0.9944 1
Ba2 Ba 0.0000 0.0000 0.5056 1
Re1 Re 0.5000 0.5000 0.7500 1



# 3
# HfMgAs (PBE-GGA, optimized geometry)
# - DOS at the Fermi energy (states/eV/cell) = 2.00
# - E_form (eV/atom) = -0.552
data_HfMgAs
_cell_length_a 3.8558
_cell_length_b 3.8558
_cell_length_c 7.7519
_cell_angle_alpha 90.00
_cell_angle_beta 90.00
_cell_angle_gamma 90.00
_symmetry_space_group_name_H-M 'P 1'
_symmetry_Int_Tables_number 1
loop_
_symmetry_equiv_pos_as_xyz
'x,y,z'
loop_
_atom_site_label
_atom_site_type_symbol
_atom_site_fract_x
_atom_site_fract_y
_atom_site_fract_z
_atom_site_occupancy
Mg1 Mg 0.5000 0.5000 0.0000 1
As1 As 0.5000 0.0000 0.7023 1
As2 As 0.0000 0.5000 0.2977 1
Hf1 Hf 0.0000 0.5000 0.6479 1
Mg2 Mg 0.0000 0.0000 0.0000 1
Hf2 Hf 0.5000 0.0000 0.3521 1



# 4
# PmTlVCl6 (PBE-GGA, optimized geometry)
# - energy relative to the elements, uncorrected (eV/atom) = -1.63
data_PmTlVCl6
_cell_length_a 6.7684
_cell_length_b 6.7684
_cell_length_c 14.3355
_cell_angle_alpha 90.00
_cell_angle_beta 90.00
_cell_angle_gamma 120.00
_symmetry_space_group_name_H-M 'P 1'
_symmetry_Int_Tables_number 1
loop_
_symmetry_equiv_pos_as_xyz
'x,y,z'
loop_
_atom_site_label
_atom_site_type_symbol
_atom_site_fract_x
_atom_site_fract_y
_atom_site_fract_z
_atom_site_occupancy
Cl1 Cl 0.6468 0.6203 0.6464 1
Cl2 Cl 0.3532 0.3797 0.3536 1
Tl1 Tl 0.0000 0.0000 0.0000 1
Cl3 Cl 0.6468 0.0266 0.8536 1
Cl4 Cl 0.0266 0.3797 0.1464 1
Tl2 Tl 0.0000 0.0000 0.5000 1
Cl5 Cl 0.6203 0.6468 0.1464 1
Cl6 Cl 0.9734 0.3532 0.6464 1
V1 V 0.3333 0.6667 0.2500 1
Cl7 Cl 0.9734 0.6203 0.8536 1
Pm1 Pm 0.3333 0.6667 0.7500 1
V2 V 0.6667 0.3333 0.7500 1
Cl8 Cl 0.3532 0.9734 0.1464 1
Cl9 Cl 0.3797 0.3532 0.8536 1
Cl10 Cl 0.0266 0.6468 0.3536 1
Cl11 Cl 0.3797 0.0266 0.6464 1
Pm2 Pm 0.6667 0.3333 0.2500 1
Cl12 Cl 0.6203 0.9734 0.3536 1